The following is a DFT calculation (PBE) of Pm3Al4Pd4 after structural relaxation.

a = 4.260 Å, b = 7.230 Å, c = 14.329 Å
α = 90.00°, β = 90.00°, γ = 90.00°
Space group Immm (No. 71)
One atom of each set of equivalent atoms:
1 Pm 0.000 0.000 0.000 x2
2 Pm 0.000 0.500 0.121 x4
3 Al 0.000 0.304 0.321 x8
4 Pd 0.000 0.000 0.215 x4
5 Pd 0.000 0.206 0.500 x4

Values from the calculation:
- Formation energy: -841 meV per atom
- Density: 7.29 g/cm3
- Fermi-level density of states: 0.531 states/eV per atom
- Magnetic moment: 0.000 μB/atom
- Total energy: -5.385 eV/atom

***

The following is a DFT calculation (PBE) of PmAl4Pd6 after structural relaxation.

a = 7.3383 Å, b = 7.3383 Å, c = 3.9275 Å
α = 90.00°, β = 90.00°, γ = 120.00°
Space group P-6m2 (No. 187)
One atom of each set of equivalent atoms:
1 Pm 0.0000 0.0000 0.0000 x1
2 Al 0.2015 0.4029 0.5000 x3
3 Al 0.6667 0.3333 0.0000 x1
4 Pd 0.0662 0.5331 0.0000 x3
5 Pd 0.3975 0.1988 0.5000 x3

Values from the calculation:
- Formation energy: -876 meV per atom
- Density: 8.08 g/cm3
- Fermi-level density of states: 0.486 states/eV per atom
- Magnetic moment: 0.000 μB/atom
- Total energy: -5.502 eV/atom

***

The following is a DFT calculation (PBE) of Pm4Al12Pd after structural relaxation.

a = 8.779 Å, b = 8.779 Å, c = 8.779 Å
α = 90.00°, β = 90.00°, γ = 90.00°
Space group Im-3m (No. 229)
One atom of each set of equivalent atoms:
1 Pm 0.250 0.250 0.250 x8
2 Al 0.000 0.000 0.293 x12
3 Al 0.000 0.250 0.500 x12
4 Pd 0.000 0.000 0.000 x2

Values from the calculation:
- Formation energy: -533 meV per atom
- Density: 4.96 g/cm3
- Fermi-level density of states: 0.220 states/eV per atom
- Magnetic moment: 0.000 μB/atom
- Total energy: -4.598 eV/atom

***

The following is a DFT calculation (PBE) of Pm4Al16Pd3 after structural relaxation.

a = 6.241 Å, b = 6.241 Å, c = 11.328 Å
α = 90.00°, β = 90.00°, γ = 90.00°
Space group P4/mmm (No. 123)
One atom of each set of equivalent atoms:
1 Pm 0.000 0.500 0.190 x4
2 Al 0.000 0.000 0.197 x2
3 Al 0.213 0.213 0.000 x4
4 Al 0.243 0.243 0.378 x8
5 Al 0.500 0.500 0.229 x2
6 Pd 0.000 0.500 0.500 x2
7 Pd 0.500 0.500 0.000 x1

Values from the calculation:
- Formation energy: -564 meV per atom
- Density: 5.01 g/cm3
- Fermi-level density of states: 0.223 states/eV per atom
- Magnetic moment: 0.000 μB/atom
- Total energy: -4.671 eV/atom

***

The following is a DFT calculation (PBE) of Pm2Al5Pd5 after structural relaxation.

a = 4.278 Å, b = 5.404 Å, c = 9.476 Å
α = 90.00°, β = 90.00°, γ = 90.00°
Space group Pmmm (No. 47)
One atom of each set of equivalent atoms:
1 Pm 0.000 0.000 0.000 x1
2 Pm 0.000 0.500 0.500 x1
3 Al 0.500 0.000 0.500 x1
4 Al 0.500 0.249 0.239 x4
5 Pd 0.000 0.000 0.335 x2
6 Pd 0.000 0.500 0.189 x2
7 Pd 0.500 0.500 0.000 x1

Values from the calculation:
- Formation energy: -856 meV per atom
- Density: 7.25 g/cm3
- Fermi-level density of states: 0.604 states/eV per atom
- Magnetic moment: 0.000 μB/atom
- Total energy: -5.371 eV/atom

***

The following is a DFT calculation (PBE) of Pm8Al2Pd after structural relaxation.

a = 5.387 Å, b = 7.081 Å, c = 16.579 Å
α = 90.00°, β = 90.00°, γ = 90.00°
Space group Immm (No. 71)
One atom of each set of equivalent atoms:
1 Pm 0.000 0.000 0.196 x4
2 Pm 0.000 0.236 0.366 x8
3 Pm 0.000 0.257 0.000 x4
4 Al 0.000 0.500 0.185 x4
5 Pd 0.000 0.500 0.500 x2

Values from the calculation:
- Formation energy: -217 meV per atom
- Density: 6.93 g/cm3
- Fermi-level density of states: 1.102 states/eV per atom
- Magnetic moment: 0.000 μB/atom
- Total energy: -4.825 eV/atom